# 1
Entry from Alexandria via LeMat-Bulk: an optimized crystal structure of Rb2In4AgGe3 (GGA-PBE).

a b c (Å): 4.989 4.989 11.399
angles (deg): 90.00 90.00 90.00
Fractional positions:
Ge (0.500, 0.000, 0.871)
Ag (0.500, 0.500, 0.500)
Rb (0.000, 0.500, 0.748)
Ge (0.000, 0.500, 0.129)
In (0.000, 0.000, 0.000)
Ge (0.000, 0.000, 0.500)
Rb (0.500, 0.000, 0.252)
In (0.000, 0.500, 0.375)
In (0.500, 0.500, 0.000)
In (0.500, 0.000, 0.625)

Values from the calculation:
**V**: 28.374 A^3/atom
**Space group**: P-4m2 (115)
**Spin magnetization**: 0.00 μB per cell
**Uncorrected energy**: -3.01 eV per atom
**DOS at the Fermi energy**: 4.965 states/eV/cell

***

# 2
Entry from Alexandria via LeMat-Bulk: an optimized crystal structure of InReAg2Ge (GGA-PBE).

a b c (Å): 5.069 5.198 5.069
angles (deg): 90.00 90.00 90.00
Each line ends with the local moment (μB).
Fractional positions:
In (0.000, 0.000, 0.000)  0.00
Ag (0.500, 0.000, 0.000)  0.01
Re (0.500, 0.500, 0.500)  3.58
Ag (0.000, 0.000, 0.500)  0.01
Ge (0.000, 0.500, 0.000)  -0.09

Values from the calculation:
**V**: 26.708 A^3/atom
**Space group**: P4/mmm (123)
**Spin magnetization**: 4.11 μB per cell
**Uncorrected energy**: -3.37 eV per atom
**DOS at the Fermi energy**: 2.763 states/eV/cell

***

# 3
Entry from Alexandria via LeMat-Bulk: an optimized crystal structure of InAgGeS4 (GGA-PBE).

a b c (Å): 5.942 5.942 6.573
angles (deg): 116.87 116.87 90.00
Fractional positions:
Ag (0.000, 0.000, 0.000)
S (0.132, 0.097, 0.720)
Ge (0.250, 0.750, 0.500)
S (0.377, 0.868, 0.280)
S (0.903, 0.412, 0.280)
In (0.500, 0.500, 0.000)
S (0.588, 0.623, 0.720)

Values from the calculation:
**V**: 25.500 A^3/atom
**Space group**: I-4 (82)
**Spin magnetization**: 0.00 μB per cell
**Uncorrected energy**: -4.20 eV per atom
**Formation energy (no corrections)**: -0.39 eV/atom

***

# 4
Entry from Alexandria via LeMat-Bulk: an optimized crystal structure of InAg2GeSe4 (GGA-PBE).

a b c (Å): 6.930 7.364 8.839
angles (deg): 90.00 90.00 90.00
Fractional positions:
Se (0.879, 0.848, 0.000)
Se (0.889, 0.329, 0.753)
Ag (0.505, 0.319, 0.250)
Se (0.853, 0.827, 0.500)
Se (0.389, 0.671, 0.747)
In (0.492, 0.839, 0.000)
Ge (0.488, 0.828, 0.500)
Ge (0.988, 0.172, 0.000)
Se (0.889, 0.329, 0.247)
Ag (0.005, 0.681, 0.750)
Ag (0.005, 0.681, 0.250)
Ag (0.505, 0.319, 0.750)
Se (0.389, 0.671, 0.253)
Se (0.353, 0.173, 0.000)
In (0.992, 0.161, 0.500)
Se (0.379, 0.152, 0.500)

Values from the calculation:
**V**: 28.194 A^3/atom
**Space group**: Pmn2_1 (31)
**Spin magnetization**: 0.00 μB per cell
**Uncorrected energy**: -3.63 eV per atom
**DOS at the Fermi energy**: 5.126 states/eV/cell
**Formation energy (no corrections)**: -0.26 eV/atom

***

# 5
Entry from Alexandria via LeMat-Bulk: an optimized crystal structure of In2AgGeSe6 (GGA-PBE).

a b c (Å): 7.209 9.842 9.842
angles (deg): 91.64 71.86 71.86
Each line ends with the local moment (μB).
Fractional positions:
Se (0.577, 0.102, 0.637)  0.01
Ge (0.750, 0.833, 0.167)  0.00
Se (0.611, 0.818, 0.976)  0.03
Se (0.423, 0.898, 0.363)  0.01
In (0.638, 0.227, 0.399)  0.00
Se (0.889, 0.024, 0.182)  0.03
Ge (0.250, 0.167, 0.833)  0.00
In (0.138, 0.399, 0.227)  0.00
Ag (0.750, 0.197, 0.803)  0.01
Ag (0.250, 0.803, 0.197)  0.01
Se (0.578, 0.544, 0.680)  0.28
Se (0.111, 0.976, 0.818)  0.03
In (0.862, 0.601, 0.773)  0.00
In (0.362, 0.773, 0.601)  0.00
Se (0.078, 0.680, 0.544)  0.28
Se (0.922, 0.320, 0.456)  0.28
Se (0.422, 0.456, 0.320)  0.28
Se (0.923, 0.363, 0.898)  0.01
Se (0.389, 0.182, 0.024)  0.03
Se (0.077, 0.637, 0.102)  0.01

Values from the calculation:
**V**: 31.228 A^3/atom
**Space group**: C2/c (15)
**Spin magnetization**: 2.09 μB per cell
**Uncorrected energy**: -3.61 eV per atom
**DOS at the Fermi energy**: 0.217 states/eV/cell
**Formation energy (no corrections)**: -0.23 eV/atom

***

# 6
Entry from Alexandria via LeMat-Bulk: an optimized crystal structure of InSiAg2Ge (GGA-PBE).

a b c (Å): 4.967 4.972 4.967
angles (deg): 90.00 90.00 90.00
Fractional positions:
Ge (0.000, 0.000, 0.000)
In (0.500, 0.500, 0.500)
Ag (0.000, 0.000, 0.500)
Si (0.000, 0.500, 0.000)
Ag (0.500, 0.000, 0.000)

Values from the calculation:
**V**: 24.528 A^3/atom
**Space group**: P4/mmm (123)
**Spin magnetization**: 0.00 μB per cell
**Uncorrected energy**: -3.16 eV per atom
**DOS at the Fermi energy**: 2.673 states/eV/cell
**Formation energy (no corrections)**: 0.54 eV/atom

***

# 7
Entry from Alexandria via LeMat-Bulk: an optimized crystal structure of SmInAgGe (GGA-PBE).

a b c (Å): 5.056 5.056 5.056
angles (deg): 60.00 60.00 60.00
Fractional positions:
Ge (0.750, 0.750, 0.750)
In (0.500, 0.500, 0.500)
Ag (0.250, 0.250, 0.250)
Sm (0.000, 0.000, 0.000)

Values from the calculation:
**V**: 22.854 A^3/atom
**Space group**: F-43m (216)
**Spin magnetization**: 0.00 μB per cell
**Uncorrected energy**: -4.00 eV per atom
**DOS at the Fermi energy**: 1.885 states/eV/cell

***

# 8
Entry from Alexandria via LeMat-Bulk: an optimized crystal structure of InAgSnGe (GGA-PBE).

a b c (Å): 5.074 5.074 5.074
angles (deg): 60.00 60.00 60.00
Fractional positions:
Sn (0.500, 0.500, 0.500)
Ag (0.750, 0.750, 0.750)
Ge (0.250, 0.250, 0.250)
In (0.000, 0.000, 0.000)

Values from the calculation:
**V**: 23.099 A^3/atom
**Space group**: F-43m (216)
**Spin magnetization**: 0.00 μB per cell
**Uncorrected energy**: -3.41 eV per atom
**DOS at the Fermi energy**: 1.141 states/eV/cell

***

# 9
Entry from Alexandria via LeMat-Bulk: an optimized crystal structure of SrInAgGe (GGA-PBE).

a b c (Å): 5.181 5.181 5.181
angles (deg): 60.00 60.00 60.00
Fractional positions:
In (0.500, 0.500, 0.500)
Ag (0.750, 0.750, 0.750)
Ge (0.250, 0.250, 0.250)
Sr (0.000, 0.000, 0.000)

Values from the calculation:
**V**: 24.591 A^3/atom
**Space group**: F-43m (216)
**Spin magnetization**: 0.00 μB per cell
**Uncorrected energy**: -3.18 eV per atom
**DOS at the Fermi energy**: 0.858 states/eV/cell

***

# 10
Entry from Alexandria via LeMat-Bulk: an optimized crystal structure of Sr2In6AgGe (GGA-PBE).

a b c (Å): 7.360 7.360 13.406
angles (deg): 74.07 74.07 60.00
Fractional positions:
In (0.336, 0.336, 0.401)
In (0.352, 0.774, 0.100)
Ag (0.500, 0.500, 0.500)
In (0.664, 0.072, 0.599)
Ge (0.427, 0.427, 0.719)
In (0.928, 0.336, 0.401)
Ge (0.573, 0.573, 0.281)
In (0.336, 0.928, 0.401)
In (0.774, 0.352, 0.100)
Ag (0.000, 0.000, 0.000)
Sr (0.893, 0.893, 0.320)
In (0.648, 0.226, 0.900)
In (0.226, 0.226, 0.900)
In (0.072, 0.664, 0.599)
In (0.226, 0.648, 0.900)
In (0.664, 0.664, 0.599)
Sr (0.718, 0.718, 0.846)
Sr (0.107, 0.107, 0.680)
Sr (0.282, 0.282, 0.154)
In (0.774, 0.774, 0.100)

Values from the calculation:
**V**: 29.825 A^3/atom
**Space group**: R-3m (166)
**Spin magnetization**: 0.00 μB per cell
**Uncorrected energy**: -2.84 eV per atom
**DOS at the Fermi energy**: 9.076 states/eV/cell

***

# 11
Entry from Alexandria via LeMat-Bulk: an optimized crystal structure of Sr2InAg3Ge4 (GGA-PBE).

a b c (Å): 4.436 4.436 11.674
angles (deg): 90.00 90.00 90.00
Fractional positions:
Ge (0.000, 0.000, 0.000)
Ag (0.000, 0.500, 0.134)
In (0.500, 0.500, 0.500)
Ag (0.500, 0.000, 0.866)
Ge (0.000, 0.500, 0.356)
Sr (0.500, 0.000, 0.244)
Sr (0.000, 0.500, 0.756)
Ge (0.500, 0.000, 0.644)
Ag (0.000, 0.000, 0.500)
Ge (0.500, 0.500, 0.000)

Values from the calculation:
**V**: 22.971 A^3/atom
**Space group**: P-4m2 (115)
**Spin magnetization**: 0.00 μB per cell
**Uncorrected energy**: -3.61 eV per atom
**DOS at the Fermi energy**: 3.861 states/eV/cell

***

# 12
Entry from Alexandria via LeMat-Bulk: an optimized crystal structure of SrInAg2Ge (GGA-PBE).

a b c (Å): 4.402 4.569 6.754
angles (deg): 109.77 109.02 90.00
Fractional positions:
Ag (0.049, 0.049, 0.097)
Ge (0.832, 0.832, 0.664)
Ag (0.708, 0.208, 0.417)
Sr (0.435, 0.435, 0.871)
In (0.188, 0.688, 0.376)

Values from the calculation:
**V**: 23.989 A^3/atom
**Space group**: Imm2 (44)
**Spin magnetization**: 0.00 μB per cell
**Uncorrected energy**: -3.26 eV per atom
**DOS at the Fermi energy**: 2.668 states/eV/cell